# SnP2Pb (GGA-PBE, relaxed)
# E above lowest polymorph in eV/atom: 0.072
# Symmetry: No. 122
# Calculated formation energy in kJ/mol of formula units: 57
# Crystal system: tetragonal
data_SnP2Pb
_chemical_formula_sum 'Sn2 P4 Pb2'
_space_group_name_H-M_alt 'P 1'
_space_group_IT_number 1
_cell_length_a 6.7707
_cell_length_b 6.7707
_cell_length_c 6.7707
_cell_angle_alpha 118.12
_cell_angle_beta 118.12
_cell_angle_gamma 93.28
loop_
_space_group_symop_operation_xyz
'x,y,z'
loop_
_atom_site_label
_atom_site_type_symbol
_atom_site_fract_x
_atom_site_fract_y
_atom_site_fract_z
_atom_site_occupancy
Sn1 Sn 0.0000 0.0000 0.0000 1
Sn2 Sn 0.7500 0.2500 0.5000 1
P1 P 0.0811 0.6250 0.9561 1
P2 P 0.3750 0.3311 0.4561 1
P3 P 0.6689 0.1250 0.0439 1
P4 P 0.8750 0.9189 0.5439 1
Pb1 Pb 0.2500 0.7500 0.5000 1
Pb2 Pb 0.5000 0.5000 0.0000 1


# SnPPb2 (GGA-PBE, relaxed)
# E above lowest polymorph in eV/atom: 0.049
# Symmetry: No. 225
# Calculated formation energy in kJ/mol of formula units: 115
# Crystal system: cubic
data_SnPPb2
_chemical_formula_sum 'Sn1 P1 Pb2'
_space_group_name_H-M_alt 'P 1'
_space_group_IT_number 1
_cell_length_a 5.2992
_cell_length_b 5.2992
_cell_length_c 5.2992
_cell_angle_alpha 60.00
_cell_angle_beta 60.00
_cell_angle_gamma 60.00
loop_
_space_group_symop_operation_xyz
'x,y,z'
loop_
_atom_site_label
_atom_site_type_symbol
_atom_site_fract_x
_atom_site_fract_y
_atom_site_fract_z
_atom_site_occupancy
Sn1 Sn 0.0000 0.0000 0.0000 1
P1 P 0.5000 0.5000 0.5000 1
Pb1 Pb 0.2500 0.2500 0.2500 1
Pb2 Pb 0.7500 0.7500 0.7500 1


# SnPPb (GGA-PBE, relaxed)
# E above lowest polymorph in eV/atom: 0.030
# Symmetry: No. 160
# Calculated formation energy in kJ/mol of formula units: 21
# Crystal system: trigonal
data_SnPPb
_chemical_formula_sum 'Sn1 P1 Pb1'
_space_group_name_H-M_alt 'P 1'
_space_group_IT_number 1
_cell_length_a 6.6710
_cell_length_b 6.6710
_cell_length_c 6.6710
_cell_angle_alpha 33.57
_cell_angle_beta 33.57
_cell_angle_gamma 33.57
loop_
_space_group_symop_operation_xyz
'x,y,z'
loop_
_atom_site_label
_atom_site_type_symbol
_atom_site_fract_x
_atom_site_fract_y
_atom_site_fract_z
_atom_site_occupancy
Sn1 Sn 0.0000 0.0000 0.0000 1
P1 P 0.4127 0.4127 0.4127 1
Pb1 Pb 0.1889 0.1889 0.1889 1


# SnPPb (GGA-PBE, relaxed)
# E above lowest polymorph in eV/atom: 0.101
# Symmetry: No. 107
# Calculated formation energy in kJ/mol of formula units: 41
# Crystal system: tetragonal
data_SnPPb
_chemical_formula_sum 'Sn1 P1 Pb1'
_space_group_name_H-M_alt 'P 1'
_space_group_IT_number 1
_cell_length_a 6.3014
_cell_length_b 6.3014
_cell_length_c 6.3014
_cell_angle_alpha 146.91
_cell_angle_beta 146.91
_cell_angle_gamma 47.49
loop_
_space_group_symop_operation_xyz
'x,y,z'
loop_
_atom_site_label
_atom_site_type_symbol
_atom_site_fract_x
_atom_site_fract_y
_atom_site_fract_z
_atom_site_occupancy
Sn1 Sn 0.0000 0.0000 0.0000 1
P1 P 0.3837 0.3837 0.0000 1
Pb1 Pb 0.7204 0.7204 0.0000 1


# SnPPb (GGA-PBE, relaxed)
# E above lowest polymorph in eV/atom: 0.000
# Symmetry: No. 4
# Calculated formation energy in kJ/mol of formula units: 12
# Crystal system: monoclinic
data_SnPPb
_chemical_formula_sum 'Sn2 P2 Pb2'
_space_group_name_H-M_alt 'P 1'
_space_group_IT_number 1
_cell_length_a 3.9729
_cell_length_b 6.3901
_cell_length_c 6.8467
_cell_angle_alpha 90.00
_cell_angle_beta 106.21
_cell_angle_gamma 90.00
loop_
_space_group_symop_operation_xyz
'x,y,z'
loop_
_atom_site_label
_atom_site_type_symbol
_atom_site_fract_x
_atom_site_fract_y
_atom_site_fract_z
_atom_site_occupancy
Sn1 Sn 0.1790 0.0000 0.3574 1
Sn2 Sn 0.8210 0.5000 0.6426 1
P1 P 0.1942 0.5901 0.3833 1
P2 P 0.8058 0.0901 0.6167 1
Pb1 Pb 0.4606 0.0613 0.9404 1
Pb2 Pb 0.5394 0.5613 0.0596 1


# SnP2Pb (GGA-PBE, relaxed)
# E above lowest polymorph in eV/atom: 0.321
# Symmetry: No. 225
# Calculated formation energy in kJ/mol of formula units: 153
# Crystal system: cubic
data_SnP2Pb
_chemical_formula_sum 'Sn1 P2 Pb1'
_space_group_name_H-M_alt 'P 1'
_space_group_IT_number 1
_cell_length_a 4.9889
_cell_length_b 4.9889
_cell_length_c 4.9889
_cell_angle_alpha 60.00
_cell_angle_beta 60.00
_cell_angle_gamma 60.00
loop_
_space_group_symop_operation_xyz
'x,y,z'
loop_
_atom_site_label
_atom_site_type_symbol
_atom_site_fract_x
_atom_site_fract_y
_atom_site_fract_z
_atom_site_occupancy
Sn1 Sn 0.0000 0.0000 0.0000 1
P1 P 0.2500 0.2500 0.2500 1
P2 P 0.7500 0.7500 0.7500 1
Pb1 Pb 0.5000 0.5000 0.5000 1


# SnPPb (GGA-PBE, relaxed)
# E above lowest polymorph in eV/atom: 0.022
# Symmetry: No. 2
# Calculated formation energy in kJ/mol of formula units: 19
# Crystal system: triclinic
data_SnPPb
_chemical_formula_sum 'Sn2 P2 Pb2'
_space_group_name_H-M_alt 'P 1'
_space_group_IT_number 1
_cell_length_a 3.9604
_cell_length_b 6.4497
_cell_length_c 6.7526
_cell_angle_alpha 101.87
_cell_angle_beta 90.87
_cell_angle_gamma 107.31
loop_
_space_group_symop_operation_xyz
'x,y,z'
loop_
_atom_site_label
_atom_site_type_symbol
_atom_site_fract_x
_atom_site_fract_y
_atom_site_fract_z
_atom_site_occupancy
Sn1 Sn 0.1216 0.2392 0.3654 1
Sn2 Sn 0.8784 0.7608 0.6346 1
P1 P 0.2566 0.5065 0.7452 1
P2 P 0.7434 0.4935 0.2547 1
Pb1 Pb 0.3925 0.7995 0.1527 1
Pb2 Pb 0.6075 0.2005 0.8473 1


# SnPPb (GGA-PBE, relaxed)
# E above lowest polymorph in eV/atom: 0.011
# Symmetry: No. 2
# Calculated formation energy in kJ/mol of formula units: 15
# Crystal system: triclinic
data_SnPPb
_chemical_formula_sum 'Sn2 P2 Pb2'
_space_group_name_H-M_alt 'P 1'
_space_group_IT_number 1
_cell_length_a 3.8898
_cell_length_b 6.9065
_cell_length_c 7.1267
_cell_angle_alpha 118.35
_cell_angle_beta 105.78
_cell_angle_gamma 90.01
loop_
_space_group_symop_operation_xyz
'x,y,z'
loop_
_atom_site_label
_atom_site_type_symbol
_atom_site_fract_x
_atom_site_fract_y
_atom_site_fract_z
_atom_site_occupancy
Sn1 Sn 0.1113 0.4441 0.2268 1
Sn2 Sn 0.8887 0.5559 0.7732 1
P1 P 0.2609 0.2690 0.5162 1
P2 P 0.7391 0.7310 0.4838 1
Pb1 Pb 0.3914 0.0611 0.7878 1
Pb2 Pb 0.6086 0.9389 0.2122 1


# SnPPb (GGA-PBE, relaxed)
# E above lowest polymorph in eV/atom: 0.010
# Symmetry: No. 1
# Calculated formation energy in kJ/mol of formula units: 15
# Crystal system: triclinic
data_SnPPb
_chemical_formula_sum 'Sn2 P2 Pb2'
_space_group_name_H-M_alt 'P 1'
_space_group_IT_number 1
_cell_length_a 3.9595
_cell_length_b 6.2367
_cell_length_c 6.9559
_cell_angle_alpha 87.93
_cell_angle_beta 73.71
_cell_angle_gamma 89.89
loop_
_space_group_symop_operation_xyz
'x,y,z'
loop_
_atom_site_label
_atom_site_type_symbol
_atom_site_fract_x
_atom_site_fract_y
_atom_site_fract_z
_atom_site_occupancy
Sn1 Sn 0.0000 0.0000 0.0000 1
Sn2 Sn 0.3588 0.5575 0.2870 1
P1 P 0.6315 0.0644 0.7337 1
P2 P 0.9921 0.5747 0.0180 1
Pb1 Pb 0.2918 0.0562 0.4102 1
Pb2 Pb 0.6456 0.5085 0.7077 1


# Sn3PPb (GGA-PBE, relaxed)
# E above lowest polymorph in eV/atom: 0.000
# Symmetry: No. 221
# Calculated formation energy in kJ/mol of formula units: 150
# Crystal system: cubic
data_Sn3PPb
_chemical_formula_sum 'Sn3 P1 Pb1'
_space_group_name_H-M_alt 'P 1'
_space_group_IT_number 1
_cell_length_a 5.2973
_cell_length_b 5.2973
_cell_length_c 5.2973
_cell_angle_alpha 90.00
_cell_angle_beta 90.00
_cell_angle_gamma 90.00
loop_
_space_group_symop_operation_xyz
'x,y,z'
loop_
_atom_site_label
_atom_site_type_symbol
_atom_site_fract_x
_atom_site_fract_y
_atom_site_fract_z
_atom_site_occupancy
Sn1 Sn 0.0000 0.0000 0.5000 1
Sn2 Sn 0.0000 0.5000 0.0000 1
Sn3 Sn 0.5000 0.0000 0.0000 1
P1 P 0.0000 0.0000 0.0000 1
Pb1 Pb 0.5000 0.5000 0.5000 1


# Sn3PPb (GGA-PBE, relaxed)
# E above lowest polymorph in eV/atom: 0.810
# Symmetry: No. 221
# Calculated formation energy in kJ/mol of formula units: 540
# Crystal system: cubic
data_Sn3PPb
_chemical_formula_sum 'Sn3 P1 Pb1'
_space_group_name_H-M_alt 'P 1'
_space_group_IT_number 1
_cell_length_a 5.7288
_cell_length_b 5.7288
_cell_length_c 5.7288
_cell_angle_alpha 90.00
_cell_angle_beta 90.00
_cell_angle_gamma 90.00
loop_
_space_group_symop_operation_xyz
'x,y,z'
loop_
_atom_site_label
_atom_site_type_symbol
_atom_site_fract_x
_atom_site_fract_y
_atom_site_fract_z
_atom_site_occupancy
Sn1 Sn 0.0000 0.0000 0.5000 1
Sn2 Sn 0.0000 0.5000 0.0000 1
Sn3 Sn 0.5000 0.0000 0.0000 1
P1 P 0.5000 0.5000 0.5000 1
Pb1 Pb 0.0000 0.0000 0.0000 1


# SnPPb (GGA-PBE, relaxed)
# E above lowest polymorph in eV/atom: 0.021
# Symmetry: No. 11
# Calculated formation energy in kJ/mol of formula units: 18
# Crystal system: monoclinic
data_SnPPb
_chemical_formula_sum 'Sn2 P2 Pb2'
_space_group_name_H-M_alt 'P 1'
_space_group_IT_number 1
_cell_length_a 5.8805
_cell_length_b 3.8765
_cell_length_c 7.0440
_cell_angle_alpha 90.00
_cell_angle_beta 91.54
_cell_angle_gamma 90.00
loop_
_space_group_symop_operation_xyz
'x,y,z'
loop_
_atom_site_label
_atom_site_type_symbol
_atom_site_fract_x
_atom_site_fract_y
_atom_site_fract_z
_atom_site_occupancy
Sn1 Sn 0.2249 0.2500 0.4169 1
Sn2 Sn 0.7751 0.7500 0.5831 1
P1 P 0.4902 0.7500 0.2648 1
P2 P 0.5098 0.2500 0.7352 1
Pb1 Pb 0.2151 0.7500 0.9153 1
Pb2 Pb 0.7849 0.2500 0.0847 1


# SnPPb (GGA-PBE, relaxed)
# E above lowest polymorph in eV/atom: 0.005
# Symmetry: No. 1
# Calculated formation energy in kJ/mol of formula units: 14
# Crystal system: triclinic
data_SnPPb
_chemical_formula_sum 'Sn1 P1 Pb1'
_space_group_name_H-M_alt 'P 1'
_space_group_IT_number 1
_cell_length_a 3.8758
_cell_length_b 3.8867
_cell_length_c 6.4365
_cell_angle_alpha 73.59
_cell_angle_beta 72.55
_cell_angle_gamma 61.02
loop_
_space_group_symop_operation_xyz
'x,y,z'
loop_
_atom_site_label
_atom_site_type_symbol
_atom_site_fract_x
_atom_site_fract_y
_atom_site_fract_z
_atom_site_occupancy
Sn1 Sn 0.0000 0.0000 0.0000 1
P1 P 0.7474 0.7392 0.7598 1
Pb1 Pb 0.5279 0.4958 0.4321 1


# Sr2PPb (GGA-PBE, relaxed)
# E above lowest polymorph in eV/atom: 0.021
# Symmetry: No. 166
# Calculated formation energy in kJ/mol of formula units: -247
# Crystal system: trigonal
data_Sr2PPb
_chemical_formula_sum 'Sr2 P1 Pb1'
_space_group_name_H-M_alt 'P 1'
_space_group_IT_number 1
_cell_length_a 9.4594
_cell_length_b 9.4594
_cell_length_c 9.4594
_cell_angle_alpha 26.20
_cell_angle_beta 26.20
_cell_angle_gamma 26.20
loop_
_space_group_symop_operation_xyz
'x,y,z'
loop_
_atom_site_label
_atom_site_type_symbol
_atom_site_fract_x
_atom_site_fract_y
_atom_site_fract_z
_atom_site_occupancy
Sr1 Sr 0.2263 0.2263 0.2263 1
Sr2 Sr 0.7737 0.7737 0.7737 1
P1 P 0.5000 0.5000 0.5000 1
Pb1 Pb 0.0000 0.0000 0.0000 1


# Sr2PPb (GGA-PBE, relaxed)
# E above lowest polymorph in eV/atom: 0.621
# Symmetry: No. 216
# Calculated formation energy in kJ/mol of formula units: -15
# Crystal system: cubic
data_Sr2PPb
_chemical_formula_sum 'Sr2 P1 Pb1'
_space_group_name_H-M_alt 'P 1'
_space_group_IT_number 1
_cell_length_a 5.5588
_cell_length_b 5.5588
_cell_length_c 5.5588
_cell_angle_alpha 60.00
_cell_angle_beta 60.00
_cell_angle_gamma 60.00
loop_
_space_group_symop_operation_xyz
'x,y,z'
loop_
_atom_site_label
_atom_site_type_symbol
_atom_site_fract_x
_atom_site_fract_y
_atom_site_fract_z
_atom_site_occupancy
Sr1 Sr 0.0000 0.0000 0.0000 1
Sr2 Sr 0.2500 0.2500 0.2500 1
P1 P 0.5000 0.5000 0.5000 1
Pb1 Pb 0.7500 0.7500 0.7500 1


# SrP2Pb4 (GGA-PBE, relaxed)
# Symmetry: No. 12
# Calculated formation energy in kJ/mol of formula units: -180
# Crystal system: monoclinic
data_SrP2Pb4
_chemical_formula_sum 'Sr1 P2 Pb4'
_space_group_name_H-M_alt 'P 1'
_space_group_IT_number 1
_cell_length_a 4.1322
_cell_length_b 4.1322
_cell_length_c 14.8206
_cell_angle_alpha 98.05
_cell_angle_beta 98.05
_cell_angle_gamma 60.07
loop_
_space_group_symop_operation_xyz
'x,y,z'
loop_
_atom_site_label
_atom_site_type_symbol
_atom_site_fract_x
_atom_site_fract_y
_atom_site_fract_z
_atom_site_occupancy
Sr1 Sr 0.0000 0.0000 0.0000 1
P1 P 0.2893 0.2893 0.8685 1
P2 P 0.7107 0.7107 0.1315 1
Pb1 Pb 0.1420 0.1420 0.4258 1
Pb2 Pb 0.4104 0.4104 0.2304 1
Pb3 Pb 0.5896 0.5896 0.7696 1
Pb4 Pb 0.8580 0.8580 0.5742 1


# SrP2Pb (GGA-PBE, relaxed)
# Symmetry: No. 166
# Calculated formation energy in kJ/mol of formula units: -87
# Crystal system: trigonal
data_SrP2Pb
_chemical_formula_sum 'Sr1 P2 Pb1'
_space_group_name_H-M_alt 'P 1'
_space_group_IT_number 1
_cell_length_a 7.4868
_cell_length_b 7.4868
_cell_length_c 7.4868
_cell_angle_alpha 32.17
_cell_angle_beta 32.17
_cell_angle_gamma 32.17
loop_
_space_group_symop_operation_xyz
'x,y,z'
loop_
_atom_site_label
_atom_site_type_symbol
_atom_site_fract_x
_atom_site_fract_y
_atom_site_fract_z
_atom_site_occupancy
Sr1 Sr 0.0000 0.0000 0.0000 1
P1 P 0.2415 0.2415 0.2415 1
P2 P 0.7585 0.7585 0.7585 1
Pb1 Pb 0.5000 0.5000 0.5000 1


# SrPPb (GGA-PBE, relaxed)
# Symmetry: No. 216
# Calculated formation energy in kJ/mol of formula units: 22
# Crystal system: cubic
data_SrPPb
_chemical_formula_sum 'Sr1 P1 Pb1'
_space_group_name_H-M_alt 'P 1'
_space_group_IT_number 1
_cell_length_a 5.1638
_cell_length_b 5.1638
_cell_length_c 5.1638
_cell_angle_alpha 60.00
_cell_angle_beta 60.00
_cell_angle_gamma 60.00
loop_
_space_group_symop_operation_xyz
'x,y,z'
loop_
_atom_site_label
_atom_site_type_symbol
_atom_site_fract_x
_atom_site_fract_y
_atom_site_fract_z
_atom_site_occupancy
Sr1 Sr 0.0000 0.0000 0.0000 1
P1 P 0.2500 0.2500 0.2500 1
Pb1 Pb 0.7500 0.7500 0.7500 1


# Sr2PPb (GGA-PBE, relaxed)
# E above lowest polymorph in eV/atom: 0.249
# Symmetry: No. 119
# Calculated formation energy in kJ/mol of formula units: -159
# Crystal system: tetragonal
data_Sr2PPb
_chemical_formula_sum 'Sr2 P1 Pb1'
_space_group_name_H-M_alt 'P 1'
_space_group_IT_number 1
_cell_length_a 6.6874
_cell_length_b 6.6874
_cell_length_c 6.6874
_cell_angle_alpha 139.69
_cell_angle_beta 139.69
_cell_angle_gamma 58.33
loop_
_space_group_symop_operation_xyz
'x,y,z'
loop_
_atom_site_label
_atom_site_type_symbol
_atom_site_fract_x
_atom_site_fract_y
_atom_site_fract_z
_atom_site_occupancy
Sr1 Sr 0.0000 0.0000 0.0000 1
Sr2 Sr 0.7500 0.2500 0.5000 1
P1 P 0.2500 0.7500 0.5000 1
Pb1 Pb 0.5000 0.5000 0.0000 1


# SrP2Pb (GGA-PBE, relaxed)
# Symmetry: No. 122
# Calculated formation energy in kJ/mol of formula units: -106
# Crystal system: tetragonal
data_SrP2Pb
_chemical_formula_sum 'Sr2 P4 Pb2'
_space_group_name_H-M_alt 'P 1'
_space_group_IT_number 1
_cell_length_a 6.8677
_cell_length_b 6.8677
_cell_length_c 6.8677
_cell_angle_alpha 115.69
_cell_angle_beta 115.69
_cell_angle_gamma 97.64
loop_
_space_group_symop_operation_xyz
'x,y,z'
loop_
_atom_site_label
_atom_site_type_symbol
_atom_site_fract_x
_atom_site_fract_y
_atom_site_fract_z
_atom_site_occupancy
Sr1 Sr 0.0000 0.0000 0.0000 1
Sr2 Sr 0.7500 0.2500 0.5000 1
P1 P 0.1716 0.1250 0.5466 1
P2 P 0.3750 0.8284 0.9534 1
P3 P 0.5784 0.6250 0.4534 1
P4 P 0.8750 0.4216 0.0466 1
Pb1 Pb 0.2500 0.7500 0.5000 1
Pb2 Pb 0.5000 0.5000 0.0000 1